DFT (GGA-PBE) results for an optimized crystal structure of CsSi3Cl.

Cell: 5.183 5.183 5.183 Å, 90.00 90.00 90.00°
Element x y z (fractional)
Cs 0.500 0.500 0.500
Si 0.000 0.500 0.000
Si 0.000 0.000 0.500
Si 0.500 0.000 0.000
Cl 0.000 0.000 0.000

## Properties
distance to the lowest polymorph of the same formula: 0 meV/atom
SG: Pm-3m, No. 221
total DFT energy (no corrections): -2.75 eV/atom